This record from Alexandria describes a geometry-optimized NpVTcW structure. The functional is PBE.

Values from the calculation:
As for the symmetry: F-43m. The formation energy is 0.33 eV/atom. The crystal system is cubic.

Cell and atoms, written as POSCAR:
```
NpVTcW
1.0
0.000 3.196 3.196
3.196 0.000 3.196
3.196 3.196 0.000
Np V Tc W
1 1 1 1
Cartesian
0.000 0.000 0.000
4.794 4.794 4.794
3.196 3.196 3.196
1.598 1.598 1.598
```